Na2TbMoO4: relaxed, PBE with a Hubbard U.

POSCAR file:
```
Na2TbMoO4
1.0
5.7139 0.0000 0.0000
0.0000 3.3724 0.0000
-1.9270 0.0000 5.5565
Na Tb Mo O
2 1 1 4
direct
0.0000 0.0000 0.0000
0.5000 0.5000 0.0000
0.0000 0.5000 0.5000
0.5000 0.0000 0.5000
0.2450 0.0000 0.7149
0.2763 0.5000 0.2902
0.7237 0.5000 0.7098
0.7550 0.0000 0.2851
```

Output
Space group   P2/m
N(E_F)   0.000 states/eV/atom
Calculated total energy   -6.4968 eV/atom
Total magnetic moment   3.0 μB/f.u.